one.
Entry from Alexandria via LeMat-Bulk: a geometry-optimized Mg3In4 structure (PBE).

Cell: 3.9821 3.9821 21.8145 Å, 90.00 90.00 90.00°
Fractional coordinates of all 14 atoms:
Mg: 0.0000 0.0000 0.0000
Mg: 0.0000 0.0000 0.2865
Mg: 0.0000 0.0000 0.7135
Mg: 0.5000 0.5000 0.2135
Mg: 0.5000 0.5000 0.5000
Mg: 0.5000 0.5000 0.7865
In: 0.0000 0.0000 0.1455
In: 0.0000 0.0000 0.4286
In: 0.0000 0.0000 0.5714
In: 0.0000 0.0000 0.8545
In: 0.5000 0.5000 0.0714
In: 0.5000 0.5000 0.3545
In: 0.5000 0.5000 0.6455
In: 0.5000 0.5000 0.9286

Total moment: 0.000 μB per cell
Crystal system: tetragonal
N(E_F): 0.420 states/eV per atom

=====

two.
Entry from Alexandria via LeMat-Bulk: a geometry-optimized Mg3In4 structure (PBE).

Cell: 5.8724 5.8724 5.8451 Å, 90.00 90.00 120.00°
Fractional coordinates of all 7 atoms:
Mg: 0.0000 0.5000 0.0000
Mg: 0.5000 0.0000 0.0000
Mg: 0.5000 0.5000 0.0000
In: 0.0000 0.0000 0.2537
In: 0.0000 0.0000 0.7463
In: 0.3333 0.6667 0.5000
In: 0.6667 0.3333 0.5000

Total moment: 0.000 μB per cell
Crystal system: hexagonal
N(E_F): 0.467 states/eV per atom

=====

What should be chosen as the least stable of them? Choose two.

=====

one.
Entry from Alexandria via LeMat-Bulk: a geometry-optimized Mg5In3 structure (PBE).

Cell: 8.8155 9.2895 4.5059 Å, 90.00 90.00 90.00°
Fractional coordinates of all 16 atoms:
Mg: 0.0000 0.0000 0.0000
Mg: 0.2393 0.5000 0.5000
Mg: 0.2500 0.2500 0.0000
Mg: 0.2500 0.7500 0.0000
Mg: 0.2607 0.0000 0.5000
Mg: 0.5000 0.5000 0.0000
Mg: 0.7393 0.0000 0.5000
Mg: 0.7500 0.2500 0.0000
Mg: 0.7500 0.7500 0.0000
Mg: 0.7607 0.5000 0.5000
In: 0.0000 0.2324 0.5000
In: 0.0000 0.5000 0.0000
In: 0.0000 0.7676 0.5000
In: 0.5000 0.0000 0.0000
In: 0.5000 0.2676 0.5000
In: 0.5000 0.7324 0.5000

Total moment: 0.000 μB per cell
Crystal system: orthorhombic
N(E_F): 0.408 states/eV per atom

=====

two.
Entry from Alexandria via LeMat-Bulk: a geometry-optimized Mg5In3 structure (PBE).

Cell: 8.4547 8.4547 8.4799 Å, 95.50 95.50 139.08°
Fractional coordinates of all 16 atoms:
Mg: 0.0811 0.7379 0.8104
Mg: 0.2470 0.2470 0.9996
Mg: 0.2621 0.9189 0.1896
Mg: 0.2636 0.4605 0.6596
Mg: 0.4605 0.2636 0.6596
Mg: 0.5395 0.7364 0.3404
Mg: 0.7364 0.5395 0.3404
Mg: 0.7379 0.0811 0.8104
Mg: 0.7530 0.7530 0.0004
Mg: 0.9189 0.2621 0.1896
In: 0.1313 0.1313 0.3451
In: 0.2398 0.7602 0.5000
In: 0.3321 0.6679 0.0000
In: 0.6679 0.3321 0.0000
In: 0.7602 0.2398 0.5000
In: 0.8687 0.8687 0.6549

Total moment: 0.000 μB per cell
Crystal system: monoclinic
N(E_F): 0.359 states/eV per atom

=====

three.
Entry from Alexandria via LeMat-Bulk: a geometry-optimized Mg5In3 structure (PBE).

Cell: 8.6137 8.6137 5.9770 Å, 90.00 90.00 59.69°
Fractional coordinates of all 16 atoms:
Mg: 0.0017 0.7677 0.2500
Mg: 0.2300 0.7700 0.7500
Mg: 0.2323 0.9983 0.2500
Mg: 0.3336 0.3336 0.0000
Mg: 0.3336 0.3336 0.5000
Mg: 0.6664 0.6664 0.0000
Mg: 0.6664 0.6664 0.5000
Mg: 0.7677 0.0017 0.7500
Mg: 0.7700 0.2300 0.2500
Mg: 0.9983 0.2323 0.7500
In: 0.0007 0.3992 0.2500
In: 0.3992 0.0007 0.7500
In: 0.4016 0.5984 0.2500
In: 0.5984 0.4016 0.7500
In: 0.6008 0.9993 0.2500
In: 0.9993 0.6008 0.7500

Total moment: 0.000 μB per cell
Crystal system: orthorhombic
N(E_F): 0.476 states/eV per atom

=====

What should be chosen as the least stable of them? Choose three.

=====

one.
Entry from Alexandria via LeMat-Bulk: a geometry-optimized Mg5In6 structure (PBE).

Cell: 7.4510 7.4510 5.7133 Å, 102.77 102.77 111.82°
Fractional coordinates of all 11 atoms:
Mg: 0.0000 0.0000 0.0000
Mg: 0.1417 0.8583 0.5000
Mg: 0.2781 0.7219 0.0000
Mg: 0.7219 0.2781 0.0000
Mg: 0.8583 0.1417 0.5000
In: 0.1726 0.4413 0.3398
In: 0.3062 0.3062 0.8282
In: 0.4413 0.1726 0.3398
In: 0.5587 0.8274 0.6602
In: 0.6938 0.6938 0.1718
In: 0.8274 0.5587 0.6602

Total moment: 0.000 μB per cell
Crystal system: monoclinic
N(E_F): 0.478 states/eV per atom

=====

two.
Entry from Alexandria via LeMat-Bulk: a geometry-optimized Mg5In6 structure (PBE).

Cell: 5.4800 6.4438 8.2832 Å, 111.97 90.09 90.56°
Fractional coordinates of all 11 atoms:
Mg: 0.0000 0.0000 0.0000
Mg: 0.3199 0.3357 0.6735
Mg: 0.3343 0.8320 0.6665
Mg: 0.6657 0.1680 0.3335
Mg: 0.6801 0.6643 0.3265
In: 0.1658 0.4187 0.3280
In: 0.1679 0.9138 0.3309
In: 0.4979 0.7441 0.9996
In: 0.5021 0.2559 0.0004
In: 0.8321 0.0862 0.6691
In: 0.8342 0.5813 0.6720

Total moment: 0.000 μB per cell
Crystal system: triclinic
N(E_F): 0.387 states/eV per atom

=====

What should be chosen as the least stable of them? Choose one.

=====

one.
Entry from Alexandria via LeMat-Bulk: a geometry-optimized Mg4In3 structure (PBE).

Cell: 3.2546 4.4025 22.7541 Å, 90.00 90.00 90.00°
Fractional coordinates of all 14 atoms:
Mg: 0.0000 0.0000 0.0715
Mg: 0.0000 0.0000 0.2136
Mg: 0.0000 0.0000 0.7864
Mg: 0.0000 0.0000 0.9285
Mg: 0.5000 0.5000 0.2864
Mg: 0.5000 0.5000 0.4285
Mg: 0.5000 0.5000 0.5715
Mg: 0.5000 0.5000 0.7136
In: 0.0000 0.0000 0.3541
In: 0.0000 0.0000 0.5000
In: 0.0000 0.0000 0.6459
In: 0.5000 0.5000 0.0000
In: 0.5000 0.5000 0.1459
In: 0.5000 0.5000 0.8541

Total moment: 0.000 μB per cell
Crystal system: orthorhombic
N(E_F): 0.339 states/eV per atom

=====

two.
Entry from Alexandria via LeMat-Bulk: a geometry-optimized Mg4In3 structure (PBE).

Cell: 5.8961 5.8961 5.8530 Å, 90.00 90.00 120.00°
Fractional coordinates of all 7 atoms:
Mg: 0.0000 0.0000 0.2387
Mg: 0.0000 0.0000 0.7613
Mg: 0.3333 0.6667 0.0000
Mg: 0.6667 0.3333 0.0000
In: 0.0000 0.5000 0.5000
In: 0.5000 0.0000 0.5000
In: 0.5000 0.5000 0.5000

Total moment: 0.000 μB per cell
Crystal system: hexagonal
N(E_F): 0.275 states/eV per atom

=====

What should be chosen as the least stable of them? Choose two.

=====

one.
Entry from Alexandria via LeMat-Bulk: a geometry-optimized Mg8In3 structure (PBE).

Cell: 5.4884 5.4884 11.5735 Å, 102.65 102.65 48.30°
Fractional coordinates of all 11 atoms:
Mg: 0.0484 0.0484 0.3183
Mg: 0.1341 0.1341 0.9551
Mg: 0.2240 0.2240 0.5889
Mg: 0.3226 0.3226 0.2288
Mg: 0.6774 0.6774 0.7712
Mg: 0.7760 0.7760 0.4111
Mg: 0.8659 0.8659 0.0449
Mg: 0.9516 0.9516 0.6817
In: 0.3974 0.3974 0.8580
In: 0.5000 0.5000 0.5000
In: 0.6026 0.6026 0.1420

Total moment: 0.000 μB per cell
Crystal system: monoclinic
N(E_F): 0.412 states/eV per atom

=====

two.
Entry from Alexandria via LeMat-Bulk: a geometry-optimized Mg8In3 structure (PBE).

Cell: 6.7055 6.7055 6.7055 Å, 90.00 90.00 90.00°
Fractional coordinates of all 11 atoms:
Mg: 0.2408 0.2408 0.2408
Mg: 0.2408 0.2408 0.7592
Mg: 0.2408 0.7592 0.2408
Mg: 0.2408 0.7592 0.7592
Mg: 0.7592 0.2408 0.2408
Mg: 0.7592 0.2408 0.7592
Mg: 0.7592 0.7592 0.2408
Mg: 0.7592 0.7592 0.7592
In: 0.0000 0.5000 0.5000
In: 0.5000 0.0000 0.5000
In: 0.5000 0.5000 0.0000

Total moment: 0.000 μB per cell
Crystal system: cubic
N(E_F): 0.443 states/eV per atom

=====

What should be chosen as the least stable of them? Choose two.

=====

one.
Entry from Alexandria via LeMat-Bulk: a geometry-optimized Mg3In2 structure (PBE).

Cell: 4.8606 4.8606 6.3044 Å, 90.00 90.00 120.00°
Fractional coordinates of all 5 atoms:
Mg: 0.0000 0.0000 0.0000
Mg: 0.3333 0.6667 0.3452
Mg: 0.6667 0.3333 0.6548
In: 0.3333 0.6667 0.8189
In: 0.6667 0.3333 0.1811

Total moment: 0.000 μB per cell
Crystal system: trigonal
N(E_F): 0.412 states/eV per atom

=====

two.
Entry from Alexandria via LeMat-Bulk: a geometry-optimized Mg3In2 structure (PBE).

Cell: 11.5117 6.9486 13.2478 Å, 60.28 31.62 88.10°
Fractional coordinates of all 10 atoms:
Mg: 0.0000 0.0000 0.0000
Mg: 0.2500 0.2500 0.2500
Mg: 0.3759 0.4780 0.8138
Mg: 0.4362 0.9178 0.8741
Mg: 0.4780 0.3759 0.3322
Mg: 0.9178 0.4362 0.7720
In: 0.3068 0.7428 0.6025
In: 0.6475 0.9021 0.9432
In: 0.7428 0.3068 0.3479
In: 0.9021 0.6475 0.5072

Total moment: 0.000 μB per cell
Crystal system: orthorhombic
N(E_F): 0.307 states/eV per atom

=====

three.
Entry from Alexandria via LeMat-Bulk: a geometry-optimized Mg3In2 structure (PBE).

Cell: 3.3355 3.3355 36.9431 Å, 90.00 90.00 120.00°
Fractional coordinates of all 15 atoms:
Mg: 0.0000 0.0000 0.0000
Mg: 0.0000 0.0000 0.2013
Mg: 0.0000 0.0000 0.7987
Mg: 0.3333 0.6667 0.4653
Mg: 0.3333 0.6667 0.6667
Mg: 0.3333 0.6667 0.8680
Mg: 0.6667 0.3333 0.1320
Mg: 0.6667 0.3333 0.3333
Mg: 0.6667 0.3333 0.5347
In: 0.0000 0.0000 0.3992
In: 0.0000 0.0000 0.6008
In: 0.3333 0.6667 0.0659
In: 0.3333 0.6667 0.2674
In: 0.6667 0.3333 0.7326
In: 0.6667 0.3333 0.9341

Total moment: 0.000 μB per cell
Crystal system: trigonal
N(E_F): 0.502 states/eV per atom

=====

What should be chosen as the least stable of them? Choose one.

=====

one.
Entry from Alexandria via LeMat-Bulk: a geometry-optimized Mg3In2 structure (PBE).

Cell: 6.3761 6.3761 6.3761 Å, 81.66 81.66 81.66°
Fractional coordinates of all 10 atoms:
Mg: 0.0563 0.7500 0.4437
Mg: 0.2500 0.5563 0.9437
Mg: 0.4437 0.0563 0.7500
Mg: 0.5563 0.9437 0.2500
Mg: 0.7500 0.4437 0.0563
Mg: 0.9437 0.2500 0.5563
In: 0.1201 0.1201 0.1201
In: 0.3799 0.3799 0.3799
In: 0.6201 0.6201 0.6201
In: 0.8799 0.8799 0.8799

Total moment: 0.000 μB per cell
Crystal system: trigonal
N(E_F): 0.411 states/eV per atom

=====

two.
Entry from Alexandria via LeMat-Bulk: a geometry-optimized Mg3In2 structure (PBE).

Cell: 7.4773 7.4773 7.4773 Å, 119.13 79.48 134.09°
Fractional coordinates of all 10 atoms:
Mg: 0.0841 0.6474 0.7314
Mg: 0.2500 0.2500 0.0000
Mg: 0.4159 0.1474 0.5633
Mg: 0.5841 0.8526 0.4367
Mg: 0.7500 0.7500 0.0000
Mg: 0.9159 0.3526 0.2686
In: 0.1754 0.2633 0.4387
In: 0.3246 0.7633 0.0879
In: 0.6754 0.2367 0.9121
In: 0.8246 0.7367 0.5613

Total moment: 0.000 μB per cell
Crystal system: orthorhombic
N(E_F): 0.354 states/eV per atom

=====

What should be chosen as the least stable of them? Choose two.

=====

one.
Entry from Alexandria via LeMat-Bulk: a geometry-optimized MgInMo2 structure (PBE).

Cell: 3.3091 3.3091 6.6563 Å, 90.00 90.00 90.00°
Fractional coordinates of all 4 atoms:
Mg: 0.0000 0.0000 0.0000
In: 0.5000 0.5000 0.7208
Mo: 0.0000 0.0000 0.4440
Mo: 0.5000 0.5000 0.2576

Total moment: 0.000 μB per cell
Crystal system: tetragonal
N(E_F): 0.599 states/eV per atom

=====

two.
Entry from Alexandria via LeMat-Bulk: a geometry-optimized MgInMo2 structure (PBE).

Cell: 2.8078 4.6723 5.5540 Å, 90.00 103.23 90.00°
Fractional coordinates of all 4 atoms:
Mg: 0.0000 0.0000 0.0000
In: 0.5000 0.0000 0.5000
Mo: 0.2802 0.5000 0.7717
Mo: 0.7198 0.5000 0.2283

Total moment: 0.000 μB per cell
Crystal system: monoclinic
N(E_F): 0.554 states/eV per atom

=====

three.
Entry from Alexandria via LeMat-Bulk: a geometry-optimized MgInMo2 structure (PBE).

Cell: 3.4659 4.4188 9.2677 Å, 90.00 90.00 90.00°
Fractional coordinates of all 8 atoms:
Mg: 0.0000 0.0000 0.0000
Mg: 0.5000 0.5000 0.0000
In: 0.0000 0.0000 0.5000
In: 0.5000 0.5000 0.5000
Mo: 0.0000 0.5000 0.2501
Mo: 0.0000 0.5000 0.7499
Mo: 0.5000 0.0000 0.2501
Mo: 0.5000 0.0000 0.7499

Total moment: 0.000 μB per cell
Crystal system: orthorhombic
N(E_F): 0.629 states/eV per atom

=====

What should be chosen as the least stable of them? Choose three.

=====

one.
Entry from Alexandria via LeMat-Bulk: a geometry-optimized MgInMo2 structure (PBE).

Cell: 5.5520 9.3331 2.8054 Å, 90.00 104.36 90.00°
Fractional coordinates of all 8 atoms:
Mg: 0.0000 0.0000 0.0000
Mg: 0.5000 0.5000 0.0000
In: 0.0000 0.5000 0.0000
In: 0.5000 0.0000 0.0000
Mo: 0.2500 0.2500 0.5000
Mo: 0.2500 0.7500 0.5000
Mo: 0.7500 0.2500 0.5000
Mo: 0.7500 0.7500 0.5000

Total moment: 0.000 μB per cell
Crystal system: monoclinic
N(E_F): 0.809 states/eV per atom

=====

two.
Entry from Alexandria via LeMat-Bulk: a geometry-optimized MgInMo2 structure (PBE).

Cell: 3.2609 4.8378 9.4401 Å, 90.00 90.00 90.00°
Fractional coordinates of all 8 atoms:
Mg: 0.0000 0.0000 0.0000
Mg: 0.5000 0.5000 0.0000
In: 0.0000 0.5000 0.2818
In: 0.5000 0.0000 0.2818
Mo: 0.0000 0.0000 0.5414
Mo: 0.0000 0.5000 0.7527
Mo: 0.5000 0.0000 0.7527
Mo: 0.5000 0.5000 0.5414

Total moment: 0.000 μB per cell
Crystal system: orthorhombic
N(E_F): 0.542 states/eV per atom

=====

What should be chosen as the least stable of them? Choose one.

=====

one.
Entry from Alexandria via LeMat-Bulk: a geometry-optimized MgInMo structure (PBE).

Cell: 3.5925 4.5360 14.1551 Å, 90.00 90.00 90.00°
Fractional coordinates of all 12 atoms:
Mg: 0.0000 0.0000 0.0000
Mg: 0.0000 0.5000 0.5000
Mg: 0.5000 0.0000 0.5000
Mg: 0.5000 0.5000 0.0000
In: 0.0000 0.0000 0.6835
In: 0.0000 0.5000 0.1835
In: 0.5000 0.0000 0.1835
In: 0.5000 0.5000 0.6835
Mo: 0.0000 0.0000 0.3454
Mo: 0.0000 0.5000 0.8454
Mo: 0.5000 0.0000 0.8454
Mo: 0.5000 0.5000 0.3454

Total moment: 0.001 μB per cell
Crystal system: orthorhombic
N(E_F): 0.993 states/eV per atom

=====

two.
Entry from Alexandria via LeMat-Bulk: a geometry-optimized MgInMo structure (PBE).

Cell: 6.5769 6.5769 6.5769 Å, 90.00 90.00 90.00°
Fractional coordinates of all 12 atoms:
Mg: 0.0000 0.0000 0.0000
Mg: 0.0000 0.5000 0.5000
Mg: 0.5000 0.0000 0.5000
Mg: 0.5000 0.5000 0.0000
In: 0.0000 0.0000 0.5000
In: 0.0000 0.5000 0.0000
In: 0.5000 0.0000 0.0000
In: 0.5000 0.5000 0.5000
Mo: 0.2500 0.2500 0.2500
Mo: 0.2500 0.7500 0.7500
Mo: 0.7500 0.2500 0.7500
Mo: 0.7500 0.7500 0.2500

Total moment: 9.284 μB per cell
Crystal system: cubic
N(E_F): 0.691 states/eV per atom

=====

What should be chosen as the least stable of them? Choose two.

=====

one.
Entry from Alexandria via LeMat-Bulk: a geometry-optimized MgIn2N structure (PBE).

Cell: 6.8462 6.8462 6.8462 Å, 90.00 90.00 90.00°
Fractional coordinates of all 16 atoms:
Mg: 0.0000 0.0000 0.0000
Mg: 0.0000 0.5000 0.5000
Mg: 0.5000 0.0000 0.5000
Mg: 0.5000 0.5000 0.0000
In: 0.2500 0.2500 0.2500
In: 0.2500 0.2500 0.7500
In: 0.2500 0.7500 0.2500
In: 0.2500 0.7500 0.7500
In: 0.7500 0.2500 0.2500
In: 0.7500 0.2500 0.7500
In: 0.7500 0.7500 0.2500
In: 0.7500 0.7500 0.7500
N: 0.0000 0.0000 0.5000
N: 0.0000 0.5000 0.0000
N: 0.5000 0.0000 0.0000
N: 0.5000 0.5000 0.5000

Total moment: 0.000 μB per cell
Crystal system: cubic
N(E_F): 0.759 states/eV per atom

=====

two.
Entry from Alexandria via LeMat-Bulk: a geometry-optimized MgIn2N structure (PBE).

Cell: 8.9041 8.9041 4.1442 Å, 90.00 90.00 90.00°
Fractional coordinates of all 16 atoms:
Mg: 0.0000 0.0000 0.0000
Mg: 0.0000 0.5000 0.2500
Mg: 0.5000 0.0000 0.7500
Mg: 0.5000 0.5000 0.5000
In: 0.1316 0.7500 0.6250
In: 0.2500 0.1316 0.3750
In: 0.2500 0.3684 0.8750
In: 0.3684 0.7500 0.1250
In: 0.6316 0.2500 0.1250
In: 0.7500 0.6316 0.8750
In: 0.7500 0.8684 0.3750
In: 0.8684 0.2500 0.6250
N: 0.0000 0.0000 0.5000
N: 0.0000 0.5000 0.7500
N: 0.5000 0.0000 0.2500
N: 0.5000 0.5000 0.0000

Total moment: 0.000 μB per cell
Crystal system: tetragonal
N(E_F): 0.439 states/eV per atom

=====

What should be chosen as the least stable of them? Choose one.